No. 1
A geometry-optimized ErMgSb2 structure, computed with GGA-PBE.

Computed properties:
Energy above the lowest structure with this stoichiometry in meV/atom: 87.2
Magnetic moment in μB/cell: 0.0
E_tot in eV per cell: -16.487

Lattice parameters (Å, degrees): 4.963 4.963 4.088 90.00 90.00 90.00
Fractional coordinates of all 4 atoms:
Er 0.000 0.000 0.000
Mg 0.500 0.500 0.000
Sb 0.000 0.500 0.500
Sb 0.500 0.000 0.500

=====

No. 2
A geometry-optimized Er5MgSb2 structure, computed with GGA-PBE.

Computed properties:
Magnetic moment in μB/cell: 0.0
E_tot in eV per cell: -71.179

Lattice parameters (Å, degrees): 6.222 6.222 17.347 90.00 90.00 137.60
Fractional coordinates of all 16 atoms:
Er 0.017 0.983 0.750
Er 0.147 0.853 0.037
Er 0.147 0.853 0.463
Er 0.452 0.548 0.102
Er 0.452 0.548 0.398
Er 0.548 0.452 0.602
Er 0.548 0.452 0.898
Er 0.853 0.147 0.537
Er 0.853 0.147 0.963
Er 0.983 0.017 0.250
Mg 0.278 0.722 0.250
Mg 0.722 0.278 0.750
Sb 0.245 0.755 0.636
Sb 0.245 0.755 0.864
Sb 0.755 0.245 0.136
Sb 0.755 0.245 0.364

=====

No. 3
A geometry-optimized ErMgSb2 structure, computed with GGA-PBE.

Computed properties:
Energy above the lowest structure with this stoichiometry in meV/atom: 59.0
Magnetic moment in μB/cell: 0.0
E_tot in eV per cell: -49.801

Lattice parameters (Å, degrees): 4.322 4.322 20.905 90.00 90.00 120.00
Fractional coordinates of all 12 atoms:
Er 0.000 0.000 0.000
Er 0.333 0.667 0.667
Er 0.667 0.333 0.333
Mg 0.000 0.000 0.500
Mg 0.333 0.667 0.167
Mg 0.667 0.333 0.833
Sb 0.000 0.000 0.247
Sb 0.000 0.000 0.753
Sb 0.333 0.667 0.420
Sb 0.333 0.667 0.914
Sb 0.667 0.333 0.086
Sb 0.667 0.333 0.580

=====

No. 4
A geometry-optimized ErMgSb2 structure, computed with GGA-PBE.

Computed properties:
Energy above the lowest structure with this stoichiometry in meV/atom: 35.9
Magnetic moment in μB/cell: 0.0
E_tot in eV per cell: -50.079

Lattice parameters (Å, degrees): 4.436 4.436 20.031 90.00 90.00 120.00
Fractional coordinates of all 12 atoms:
Er 0.000 0.000 0.000
Er 0.333 0.667 0.667
Er 0.667 0.333 0.333
Mg 0.000 0.000 0.829
Mg 0.333 0.667 0.495
Mg 0.667 0.333 0.162
Sb 0.000 0.000 0.417
Sb 0.000 0.000 0.581
Sb 0.333 0.667 0.084
Sb 0.333 0.667 0.248
Sb 0.667 0.333 0.751
Sb 0.667 0.333 0.915

=====

No. 5
A geometry-optimized ErMgSb2 structure, computed with GGA-PBE.

Computed properties:
Energy above the lowest structure with this stoichiometry in meV/atom: 0.0
Magnetic moment in μB/cell: 0.0
E_tot in eV per cell: -33.673

Lattice parameters (Å, degrees): 4.380 4.380 10.700 90.00 90.00 90.00
Fractional coordinates of all 8 atoms:
Er 0.250 0.250 0.216
Er 0.750 0.750 0.784
Mg 0.250 0.750 0.500
Mg 0.750 0.250 0.500
Sb 0.250 0.250 0.684
Sb 0.250 0.750 0.000
Sb 0.750 0.250 0.000
Sb 0.750 0.750 0.316

=====

No. 6
A geometry-optimized Er12Mg2Sc5 structure, computed with GGA-PBE.

Computed properties:
Energy of formation from the pure elements in eV per atom: 0.142
Magnetic moment in μB/cell: 0.0
E_tot in eV per cell: -86.895

Lattice parameters (Å, degrees): 8.863 8.863 8.399 92.81 92.81 57.26
Fractional coordinates of all 19 atoms:
Er 0.051 0.051 0.255
Er 0.088 0.693 0.397
Er 0.118 0.516 0.773
Er 0.307 0.912 0.603
Er 0.349 0.349 0.126
Er 0.484 0.882 0.227
Er 0.516 0.118 0.773
Er 0.651 0.651 0.874
Er 0.693 0.088 0.397
Er 0.882 0.484 0.227
Er 0.912 0.307 0.603
Er 0.949 0.949 0.745
Mg 0.279 0.721 0.000
Mg 0.721 0.279 0.000
Sc 0.156 0.156 0.933
Sc 0.260 0.260 0.439
Sc 0.500 0.500 0.500
Sc 0.740 0.740 0.561
Sc 0.844 0.844 0.067

=====

No. 7
A geometry-optimized Er3Mg4Sc structure, computed with GGA-PBE.

Computed properties:
Energy above the lowest structure with this stoichiometry in meV/atom: 0.0
Energy of formation from the pure elements in eV per atom: -0.059
Magnetic moment in μB/cell: 0.0
E_tot in eV per cell: -26.867

Lattice parameters (Å, degrees): 3.715 3.715 14.961 90.00 90.00 90.00
Fractional coordinates of all 8 atoms:
Er 0.000 0.000 0.000
Er 0.000 0.000 0.256
Er 0.000 0.000 0.744
Mg 0.500 0.500 0.128
Mg 0.500 0.500 0.386
Mg 0.500 0.500 0.614
Mg 0.500 0.500 0.872
Sc 0.000 0.000 0.500

=====

No. 8
A geometry-optimized Er2Mg2Sc structure, computed with GGA-PBE.

Computed properties:
Energy above the lowest structure with this stoichiometry in meV/atom: 0.0
Energy of formation from the pure elements in eV per atom: -0.033
Magnetic moment in μB/cell: 0.0
E_tot in eV per cell: -37.624

Lattice parameters (Å, degrees): 13.842 13.842 5.292 90.00 90.00 165.06
Fractional coordinates of all 10 atoms:
Er 0.041 0.959 0.750
Er 0.237 0.763 0.750
Er 0.763 0.237 0.250
Er 0.959 0.041 0.250
Mg 0.361 0.639 0.250
Mg 0.440 0.560 0.750
Mg 0.560 0.440 0.250
Mg 0.639 0.361 0.750
Sc 0.155 0.845 0.250
Sc 0.845 0.155 0.750

=====

No. 9
A geometry-optimized Er3MgSc3 structure, computed with GGA-PBE.

Computed properties:
Energy above the lowest structure with this stoichiometry in meV/atom: 82.7
Energy of formation from the pure elements in eV per atom: 0.106
Magnetic moment in μB/cell: 0.0
E_tot in eV per cell: -67.076

Lattice parameters (Å, degrees): 13.763 13.763 13.763 24.65 24.65 24.65
Fractional coordinates of all 14 atoms:
Er 0.096 0.432 0.767
Er 0.233 0.904 0.568
Er 0.432 0.767 0.096
Er 0.568 0.233 0.904
Er 0.767 0.096 0.432
Er 0.904 0.568 0.233
Mg 0.167 0.167 0.167
Mg 0.833 0.833 0.833
Sc 0.032 0.697 0.365
Sc 0.303 0.635 0.968
Sc 0.365 0.032 0.697
Sc 0.635 0.968 0.303
Sc 0.697 0.365 0.032
Sc 0.968 0.303 0.635

=====

No. 10
A geometry-optimized Er12MgSc7 structure, computed with GGA-PBE.

Computed properties:
Energy of formation from the pure elements in eV per atom: 0.155
Magnetic moment in μB/cell: 0.0
E_tot in eV per cell: -97.570

Lattice parameters (Å, degrees): 8.867 8.867 8.867 107.62 107.62 107.62
Fractional coordinates of all 20 atoms:
Er 0.081 0.806 0.295
Er 0.120 0.212 0.420
Er 0.194 0.705 0.919
Er 0.212 0.420 0.120
Er 0.295 0.081 0.806
Er 0.420 0.120 0.212
Er 0.580 0.880 0.788
Er 0.705 0.919 0.194
Er 0.788 0.580 0.880
Er 0.806 0.295 0.081
Er 0.880 0.788 0.580
Er 0.919 0.194 0.705
Mg 0.500 0.500 0.500
Sc 0.000 0.000 0.000
Sc 0.185 0.616 0.521
Sc 0.384 0.479 0.815
Sc 0.479 0.815 0.384
Sc 0.521 0.185 0.616
Sc 0.616 0.521 0.185
Sc 0.815 0.384 0.479

=====

No. 11
A geometry-optimized ErMg5Sc2 structure, computed with GGA-PBE.

Computed properties:
Energy above the lowest structure with this stoichiometry in meV/atom: 0.0
Energy of formation from the pure elements in eV per atom: -0.044
Magnetic moment in μB/cell: 0.9
E_tot in eV per cell: -51.095

Lattice parameters (Å, degrees): 5.123 5.123 14.506 90.00 90.00 90.00
Fractional coordinates of all 16 atoms:
Er 0.000 0.000 0.000
Er 0.500 0.500 0.500
Mg 0.000 0.000 0.500
Mg 0.000 0.500 0.128
Mg 0.000 0.500 0.372
Mg 0.000 0.500 0.628
Mg 0.000 0.500 0.872
Mg 0.500 0.000 0.128
Mg 0.500 0.000 0.372
Mg 0.500 0.000 0.628
Mg 0.500 0.000 0.872
Mg 0.500 0.500 0.000
Sc 0.000 0.000 0.254
Sc 0.000 0.000 0.746
Sc 0.500 0.500 0.246
Sc 0.500 0.500 0.754

=====

No. 12
A geometry-optimized Er3Mg6Sc structure, computed with GGA-PBE.

Computed properties:
Energy of formation from the pure elements in eV per atom: -0.047
Magnetic moment in μB/cell: 0.0
E_tot in eV per cell: -60.122

Lattice parameters (Å, degrees): 9.129 5.182 11.054 90.00 105.25 90.00
Fractional coordinates of all 20 atoms:
Er 0.044 0.250 0.399
Er 0.148 0.750 0.207
Er 0.249 0.250 0.008
Er 0.751 0.750 0.992
Er 0.852 0.250 0.793
Er 0.956 0.750 0.601
Mg 0.059 0.750 0.900
Mg 0.169 0.250 0.706
Mg 0.267 0.750 0.512
Mg 0.354 0.750 0.808
Mg 0.364 0.250 0.309
Mg 0.456 0.750 0.107
Mg 0.544 0.250 0.893
Mg 0.636 0.750 0.691
Mg 0.646 0.250 0.192
Mg 0.733 0.250 0.488
Mg 0.831 0.750 0.294
Mg 0.941 0.250 0.100
Sc 0.452 0.250 0.598
Sc 0.548 0.750 0.402

=====

No. 13
A geometry-optimized Er2MgSc7 structure, computed with GGA-PBE.

Computed properties:
Energy of formation from the pure elements in eV per atom: 0.156
Magnetic moment in μB/cell: 0.0
E_tot in eV per cell: -53.478

Lattice parameters (Å, degrees): 13.740 13.740 3.226 90.00 90.00 154.82
Fractional coordinates of all 10 atoms:
Er 0.210 0.790 0.000
Er 0.790 0.210 0.000
Mg 0.500 0.500 0.500
Sc 0.000 0.000 0.000
Sc 0.156 0.349 0.000
Sc 0.318 0.682 0.500
Sc 0.349 0.156 0.000
Sc 0.651 0.844 0.000
Sc 0.682 0.318 0.500
Sc 0.844 0.651 0.000

=====

No. 14
A geometry-optimized Er2MgSc5 structure, computed with GGA-PBE.

Computed properties:
Energy of formation from the pure elements in eV per atom: 0.050
Magnetic moment in μB/cell: 0.0
E_tot in eV per cell: -83.949

Lattice parameters (Å, degrees): 6.585 6.585 9.521 90.00 90.00 90.00
Fractional coordinates of all 16 atoms:
Er 0.000 0.500 0.000
Er 0.000 0.500 0.500
Er 0.500 0.000 0.000
Er 0.500 0.000 0.500
Mg 0.000 0.000 0.000
Mg 0.500 0.500 0.500
Sc 0.000 0.000 0.500
Sc 0.250 0.250 0.250
Sc 0.250 0.250 0.750
Sc 0.250 0.750 0.250
Sc 0.250 0.750 0.750
Sc 0.500 0.500 0.000
Sc 0.750 0.250 0.250
Sc 0.750 0.250 0.750
Sc 0.750 0.750 0.250
Sc 0.750 0.750 0.750

=====

No. 15
A geometry-optimized ErMg5Sc structure, computed with GGA-PBE.

Computed properties:
Energy of formation from the pure elements in eV per atom: 0.125
Magnetic moment in μB/cell: 0.0
E_tot in eV per cell: -35.985

Lattice parameters (Å, degrees): 6.109 9.637 6.500 90.00 110.04 90.00
Fractional coordinates of all 14 atoms:
Er 0.000 0.000 0.000
Er 0.500 0.500 0.000
Mg 0.000 0.000 0.500
Mg 0.196 0.287 0.233
Mg 0.196 0.713 0.233
Mg 0.304 0.213 0.767
Mg 0.304 0.787 0.767
Mg 0.500 0.500 0.500
Mg 0.696 0.213 0.233
Mg 0.696 0.787 0.233
Mg 0.804 0.287 0.767
Mg 0.804 0.713 0.767
Sc 0.000 0.500 0.500
Sc 0.500 0.000 0.500

=====

No. 16
A geometry-optimized Er2MgSc4 structure, computed with GGA-PBE.

Computed properties:
Energy above the lowest structure with this stoichiometry in meV/atom: 0.0
Energy of formation from the pure elements in eV per atom: 0.070
Magnetic moment in μB/cell: 0.0
E_tot in eV per cell: -71.112

Lattice parameters (Å, degrees): 3.308 33.627 3.301 90.00 90.00 90.00
Fractional coordinates of all 14 atoms:
Er 0.000 0.205 0.000
Er 0.000 0.795 0.000
Er 0.500 0.295 0.000
Er 0.500 0.705 0.000
Mg 0.000 0.500 0.500
Mg 0.500 0.000 0.500
Sc 0.000 0.066 0.000
Sc 0.000 0.367 0.500
Sc 0.000 0.633 0.500
Sc 0.000 0.934 0.000
Sc 0.500 0.133 0.500
Sc 0.500 0.434 0.000
Sc 0.500 0.566 0.000
Sc 0.500 0.867 0.500

=====

No. 17
A geometry-optimized Er4MgSc2 structure, computed with GGA-PBE.

Computed properties:
Energy of formation from the pure elements in eV per atom: 0.117
Magnetic moment in μB/cell: 0.1
E_tot in eV per cell: -63.378

Lattice parameters (Å, degrees): 5.393 6.606 11.384 90.00 103.78 90.00
Fractional coordinates of all 14 atoms:
Er 0.067 0.250 0.141
Er 0.211 0.750 0.430
Er 0.356 0.507 0.709
Er 0.356 0.993 0.709
Er 0.644 0.007 0.291
Er 0.644 0.493 0.291
Er 0.789 0.250 0.570
Er 0.933 0.750 0.859
Mg 0.078 0.750 0.152
Mg 0.922 0.250 0.848
Sc 0.216 0.250 0.428
Sc 0.489 0.250 0.986
Sc 0.511 0.750 0.014
Sc 0.784 0.750 0.572

=====

No. 18
A geometry-optimized ErMg2Sc4 structure, computed with GGA-PBE.

Computed properties:
Energy above the lowest structure with this stoichiometry in meV/atom: 0.0
Energy of formation from the pure elements in eV per atom: 0.033
Magnetic moment in μB/cell: 0.0
E_tot in eV per cell: -65.689

Lattice parameters (Å, degrees): 4.850 22.373 3.226 90.00 90.00 90.00
Fractional coordinates of all 14 atoms:
Er 0.000 0.000 0.000
Er 0.500 0.500 0.000
Mg 0.000 0.286 0.500
Mg 0.000 0.714 0.500
Mg 0.500 0.214 0.500
Mg 0.500 0.786 0.500
Sc 0.000 0.150 0.000
Sc 0.000 0.425 0.500
Sc 0.000 0.575 0.500
Sc 0.000 0.850 0.000
Sc 0.500 0.075 0.500
Sc 0.500 0.350 0.000
Sc 0.500 0.650 0.000
Sc 0.500 0.925 0.500

=====

No. 19
A geometry-optimized ErMg4Sc5 structure, computed with GGA-PBE.

Computed properties:
Energy of formation from the pure elements in eV per atom: -0.017
Magnetic moment in μB/cell: 0.0
E_tot in eV per cell: -42.768

Lattice parameters (Å, degrees): 3.531 3.531 19.379 90.00 90.00 90.00
Fractional coordinates of all 10 atoms:
Er 0.000 0.000 0.000
Mg 0.000 0.000 0.214
Mg 0.000 0.000 0.404
Mg 0.000 0.000 0.596
Mg 0.000 0.000 0.786
Sc 0.500 0.500 0.117
Sc 0.500 0.500 0.309
Sc 0.500 0.500 0.500
Sc 0.500 0.500 0.691
Sc 0.500 0.500 0.883

=====

No. 20
A geometry-optimized Er5Mg4Sc structure, computed with GGA-PBE.

Computed properties:
Energy of formation from the pure elements in eV per atom: -0.037
Magnetic moment in μB/cell: 0.0
E_tot in eV per cell: -35.896

Lattice parameters (Å, degrees): 3.651 3.651 20.249 90.00 90.00 90.00
Fractional coordinates of all 10 atoms:
Er 0.000 0.000 0.000
Er 0.000 0.000 0.194
Er 0.000 0.000 0.398
Er 0.000 0.000 0.602
Er 0.000 0.000 0.806
Mg 0.500 0.500 0.097
Mg 0.500 0.500 0.295
Mg 0.500 0.500 0.705
Mg 0.500 0.500 0.903
Sc 0.500 0.500 0.500

=====

No. 21
A geometry-optimized Er6MgSc structure, computed with GGA-PBE.

Computed properties:
Energy above the lowest structure with this stoichiometry in meV/atom: 0.0
Energy of formation from the pure elements in eV per atom: 0.029
Magnetic moment in μB/cell: 0.0
E_tot in eV per cell: -35.069

Lattice parameters (Å, degrees): 4.860 4.860 9.791 90.00 90.00 90.00
Fractional coordinates of all 8 atoms:
Er 0.000 0.000 0.000
Er 0.000 0.000 0.500
Er 0.000 0.500 0.247
Er 0.000 0.500 0.753
Er 0.500 0.000 0.247
Er 0.500 0.000 0.753
Mg 0.500 0.500 0.500
Sc 0.500 0.500 0.000

=====

No. 22
A geometry-optimized Er6MgSc structure, computed with GGA-PBE.

Computed properties:
Energy above the lowest structure with this stoichiometry in meV/atom: 119.6
Energy of formation from the pure elements in eV per atom: 0.149
Magnetic moment in μB/cell: 0.0
E_tot in eV per cell: -34.112

Lattice parameters (Å, degrees): 6.213 6.213 6.213 94.99 94.99 94.99
Fractional coordinates of all 8 atoms:
Er 0.044 0.752 0.503
Er 0.248 0.497 0.956
Er 0.497 0.956 0.248
Er 0.503 0.044 0.752
Er 0.752 0.503 0.044
Er 0.956 0.248 0.497
Mg 0.000 0.000 0.000
Sc 0.500 0.500 0.500

=====

Ordered mass density results: 7.176; 8.098; 6.410; 6.350; 7.041; 6.834; 5.178; 5.440; 5.504; 6.831; 3.303; 4.559; 4.316; 4.694; 3.083; 4.871; 6.605; 3.754; 3.362; 6.019; 7.704; 7.518; unit g cm⁻³.
Ordered Fermi-level density of states results: 2.16; 7.29; 3.15; 1.46; 1.56; 26.65; 10.64; 5.15; 11.03; 36.66; 6.21; 9.68; 15.46; 13.02; 4.49; 10.84; 13.36; 10.22; 14.91; 15.05; 13.01; 15.19; unit states/eV/f.u..